Below is a relaxed structure of BaP4W8, with properties calculated at the PBE level.

Values from the calculation:
magnetization = 0.000 μB/atom
space group = I4/m (87)
VASP energy = -127.34 eV/f.u.

Lattice parameters (Å, degrees): 7.640 7.640 7.640 94.54 94.54 147.32
Atoms (fractional coordinates):
1 Ba 0.000 0.000 0.000
2 P 0.260 0.552 0.811
3 P 0.448 0.260 0.708
4 P 0.552 0.740 0.292
5 P 0.740 0.448 0.189
6 W 0.037 0.635 0.672
7 W 0.212 0.314 0.526
8 W 0.314 0.788 0.102
9 W 0.365 0.037 0.402
10 W 0.635 0.963 0.598
11 W 0.686 0.212 0.898
12 W 0.788 0.686 0.474
13 W 0.963 0.365 0.328